[1]
# ZrNiTe2

Crystalline ZrNiTe2 at its relaxed geometry (PBE, Alexandria via LeMat-Bulk).

Results
Its formation energy without anion corrections is -0.469 eV per atom. The value obtained for the mass density is 6.6 g/cm3. Its uncorrected energy is -5.62 eV/atom.

a = 3.7437 Å, b = 3.7437 Å, c = 7.2578 Å
α = 90.00°, β = 90.00°, γ = 90.00°
With the nearest neighbours (Å) after each atom.
Atoms (fractional coordinates):
Te (0.0000, 0.0000, 0.8935)  1 Zr 2.67, 4 Ni 2.93
Te (0.5000, 0.5000, 0.3602)  1 Ni 2.62, 4 Zr 2.91
Ni (0.5000, 0.5000, 0.7208)  5 Te 2.62-2.93
Zr (0.0000, 0.0000, 0.5256)  5 Te 2.67-2.91


[2]
# Zr5Ag3

Crystalline Zr5Ag3 at its relaxed geometry (PBE, Alexandria via LeMat-Bulk).

Results
The value obtained for the calculated formation energy is 73.4 meV per atom. The value obtained for the mass density is 7.6 g/cm3. Its uncorrected energy is -6.34 eV/atom.

a = 8.3584 Å, b = 8.3584 Å, c = 8.3305 Å
α = 95.84°, β = 95.84°, γ = 142.20°
With the nearest neighbours (Å) after each atom.
Atoms (fractional coordinates):
Zr (0.5720, 0.7164, 0.3007)  6 Ag 2.92-3.18, 3 Zr 3.16-3.23
Ag (0.8337, 0.6671, 0.5004)  10 Zr 2.92-3.19
Ag (0.2505, 0.2503, 0.0004)  2 Ag 2.71, 8 Zr 2.96
Zr (0.4288, 0.2845, 0.7003)  6 Ag 2.92-3.19, 3 Zr 3.16-3.23
Ag (0.1671, 0.3337, 0.5004)  10 Zr 2.92-3.19
Zr (0.2510, 0.7510, 0.5018)  2 Zr 2.71, 4 Ag 2.96-2.97
Zr (0.9217, 0.2215, 0.1450)  6 Ag 2.93-3.15, 3 Zr 3.17-3.23
Zr (0.2164, 0.0720, 0.3007)  6 Ag 2.92-3.18, 3 Zr 3.16-3.23
Zr (0.7497, 0.2497, 0.4989)  2 Zr 2.71, 4 Ag 2.96-2.97
Ag (0.3331, 0.8331, 0.1668)  10 Zr 2.93-3.15
Zr (0.2793, 0.5790, 0.8558)  6 Ag 2.93-3.15, 3 Zr 3.17-3.23
Ag (0.7503, 0.7505, 0.0004)  2 Ag 2.71, 8 Zr 2.96
Zr (0.7215, 0.4217, 0.1449)  6 Ag 2.93-3.15, 3 Zr 3.17-3.23
Zr (0.7845, 0.9288, 0.7003)  6 Ag 2.92-3.19, 3 Zr 3.16-3.23
Ag (0.6677, 0.1677, 0.8340)  10 Zr 2.93-3.15
Zr (0.0790, 0.7793, 0.8558)  6 Ag 2.93-3.15, 3 Zr 3.17-3.23


[3]
# GeBi2O6

Crystalline GeBi2O6 at its relaxed geometry (PBE, Alexandria via LeMat-Bulk).

Results
Its formation energy without anion corrections is -1.155 eV per atom. The value obtained for the mass density is 7.2 g/cm3. Its uncorrected energy is -5.84 eV/atom.

a = 5.4738 Å, b = 5.6296 Å, c = 8.8094 Å
α = 90.00°, β = 90.01°, γ = 90.00°
With the nearest neighbours (Å) after each atom.
Atoms (fractional coordinates):
O (0.1484, 0.1972, 0.3412)  1 Ge 1.96
Bi (0.0001, 0.5004, 0.2035)  6 O 2.25-2.31
O (0.8516, 0.8038, 0.3408)  1 Ge 1.96
Bi (0.5001, 0.9996, 0.7035)  6 O 2.25-2.31
O (0.1484, 0.1962, 0.6592)  1 Ge 1.96
Ge (0.0000, 0.0000, 0.5000)  6 O 1.89-1.96
Ge (0.5000, 0.5000, 0.0000)  6 O 1.89-1.96
O (0.6484, 0.3028, 0.8412)  1 Ge 1.96
O (0.8516, 0.8028, 0.6588)  1 Ge 1.96
O (0.3516, 0.6962, 0.8408)  1 Ge 1.96
O (0.7010, 0.1679, 0.5002)  1 Ge 1.89
Bi (0.4999, 0.0004, 0.2965)  6 O 2.25-2.31
O (0.2990, 0.8321, 0.4998)  1 Ge 1.89
O (0.6484, 0.3038, 0.1592)  1 Ge 1.96
Bi (0.9999, 0.4996, 0.7965)  6 O 2.25-2.31
O (0.7990, 0.6679, 0.9998)  1 Ge 1.89
O (0.2010, 0.3321, 0.0002)  1 Ge 1.89
O (0.3516, 0.6972, 0.1588)  1 Ge 1.96


[4]
# Tb2Sc7

Crystalline Tb2Sc7 at its relaxed geometry (PBE, Alexandria via LeMat-Bulk).

Results
The value obtained for the calculated formation energy is 53.8 meV per atom. The value obtained for the mass density is 4.5 g/cm3. Its uncorrected energy is -5.90 eV/atom.

a = 5.7613 Å, b = 5.7613 Å, c = 8.1256 Å
α = 90.00°, β = 90.00°, γ = 120.00°
With the nearest neighbours (Å) after each atom.
Atoms (fractional coordinates):
Tb (0.3333, 0.6667, 0.0000)  3 Tb 3.33, 9 Sc 3.33-3.37
Sc (0.3308, 0.3308, 0.3399)  10 Sc 3.23-3.36, 2 Tb 3.37
Sc (0.6692, 0.0000, 0.3399)  10 Sc 3.23-3.36, 2 Tb 3.37
Sc (0.6692, 0.6692, 0.6601)  10 Sc 3.23-3.36, 2 Tb 3.37
Sc (0.3308, 0.0000, 0.6601)  10 Sc 3.23-3.36, 2 Tb 3.37
Sc (0.0000, 0.6692, 0.3399)  10 Sc 3.23-3.36, 2 Tb 3.37
Sc (0.0000, 0.0000, 0.0000)  6 Tb 3.33, 6 Sc 3.36
Tb (0.6667, 0.3333, 0.0000)  3 Tb 3.33, 9 Sc 3.33-3.37
Sc (0.0000, 0.3308, 0.6601)  10 Sc 3.23-3.36, 2 Tb 3.37


[5]
# CaPm2Sn2

Crystalline CaPm2Sn2 at its relaxed geometry (PBE, Alexandria via LeMat-Bulk).

Results
The value obtained for the calculated formation energy is -419.6 meV per atom. The value obtained for the mass density is 5.5 g/cm3. Its uncorrected energy is -4.32 eV/atom.

a = 8.2610 Å, b = 8.2611 Å, c = 6.0238 Å
α = 111.36°, β = 111.36°, γ = 96.93°
With the nearest neighbours (Å) after each atom.
Atoms (fractional coordinates):
Ca (0.1228, 0.8772, 0.2500)  4 Sn 3.03-3.33
Pm (0.4504, 0.2188, 0.0846)  1 Pm 3.03, 5 Sn 3.09-3.37
Ca (0.8772, 0.1228, 0.7500)  4 Sn 3.03-3.33
Sn (0.6153, 0.3847, 0.7500)  6 Pm 3.23-3.37, 1 Ca 3.24
Pm (0.2188, 0.4504, 0.5846)  1 Pm 3.03, 5 Sn 3.09-3.37
Pm (0.5496, 0.7812, 0.9154)  1 Pm 3.03, 5 Sn 3.09-3.37
Sn (0.3847, 0.6153, 0.2500)  6 Pm 3.23-3.37, 1 Ca 3.24
Pm (0.7812, 0.5496, 0.4154)  1 Pm 3.03, 5 Sn 3.09-3.37
Sn (0.1462, 0.8538, 0.7500)  3 Ca 3.03-3.33, 4 Pm 3.09-3.31
Sn (0.8538, 0.1462, 0.2500)  3 Ca 3.03-3.33, 4 Pm 3.09-3.31


[6]
# CeCu2Si2

Crystalline CeCu2Si2 at its relaxed geometry (PBE, Alexandria via LeMat-Bulk).

Results
Its formation energy without anion corrections is -0.577 eV per atom. The value obtained for the mass density is 6.6 g/cm3. Its uncorrected energy is -5.57 eV/atom.

a = 4.0807 Å, b = 4.0807 Å, c = 5.6994 Å
α = 110.99°, β = 110.99°, γ = 90.00°
With the nearest neighbours (Å) after each atom.
Atoms (fractional coordinates):
Cu (0.7500, 0.2500, 0.5000)  4 Si 2.41
Si (0.6202, 0.6202, 0.2405)  1 Si 2.36, 4 Cu 2.41
Ce (0.0000, 0.0000, 0.0000)  8 Si 3.12, 8 Cu 3.19
Si (0.3798, 0.3798, 0.7595)  1 Si 2.36, 4 Cu 2.41
Cu (0.2500, 0.7500, 0.5000)  4 Si 2.41


[7]
# Rb2Tl6InAg

Crystalline Rb2Tl6InAg at its relaxed geometry (PBE, Alexandria via LeMat-Bulk).

Results
The value obtained for the calculated formation energy is 55.1 meV per atom. The value obtained for the mass density is 7.3 g/cm3. Its uncorrected energy is -2.12 eV/atom.

a = 7.9409 Å, b = 7.9409 Å, c = 14.2177 Å
α = 73.78°, β = 73.78°, γ = 60.00°
With the nearest neighbours (Å) after each atom.
Atoms (fractional coordinates):
In (0.5759, 0.5759, 0.2724)  6 Tl 3.00-3.10, 1 Ag 3.06
Tl (0.6566, 0.6566, 0.6076)  1 Ag 3.02, 1 In 3.10, 2 Tl 3.35
Ag (0.5000, 0.5000, 0.5000)  6 Tl 3.02, 2 In 3.06
Tl (0.7967, 0.7967, 0.1431)  1 Ag 2.88, 1 In 3.00
Tl (0.2634, 0.7967, 0.1431)  1 Ag 2.88, 1 In 3.00
Tl (0.7967, 0.2634, 0.1431)  1 Ag 2.88, 1 In 3.00
In (0.4241, 0.4241, 0.7276)  6 Tl 3.00-3.10, 1 Ag 3.06
Rb (0.8757, 0.8757, 0.3730)  12 Tl 3.70-3.99
Tl (0.2033, 0.2033, 0.8569)  1 Ag 2.88, 1 In 3.00
Ag (0.0000, 0.0000, 0.0000)  6 Tl 2.88
Rb (0.1243, 0.1243, 0.6270)  12 Tl 3.70-3.99
Tl (0.9209, 0.3434, 0.3924)  1 Ag 3.02, 1 In 3.10, 2 Tl 3.35
Tl (0.2033, 0.7366, 0.8569)  1 Ag 2.88, 1 In 3.00
Rb (0.7044, 0.7044, 0.8867)  12 Tl 3.99-4.23
Tl (0.3434, 0.9209, 0.3924)  1 Ag 3.02, 1 In 3.10, 2 Tl 3.35
Tl (0.0791, 0.6566, 0.6076)  1 Ag 3.02, 1 In 3.10, 2 Tl 3.35
Tl (0.6566, 0.0791, 0.6076)  1 Ag 3.02, 1 In 3.10, 2 Tl 3.35
Tl (0.7366, 0.2033, 0.8569)  1 Ag 2.88, 1 In 3.00
Tl (0.3434, 0.3434, 0.3924)  1 Ag 3.02, 1 In 3.10, 2 Tl 3.35
Rb (0.2956, 0.2956, 0.1133)  12 Tl 3.99-4.23


[8]
# La2YZrSc

Crystalline La2YZrSc at its relaxed geometry (PBE, Alexandria via LeMat-Bulk).

Results
The value obtained for the calculated formation energy is 529.5 meV per atom. The value obtained for the mass density is 4.8 g/cm3. Its uncorrected energy is -5.71 eV/atom.

a = 5.6872 Å, b = 5.3966 Å, c = 5.6872 Å
α = 90.00°, β = 90.00°, γ = 90.00°
With the nearest neighbours (Å) after each atom.
Atoms (fractional coordinates):
Zr (0.0000, 0.0000, 0.0000)  2 Sc 2.70, 4 La 2.84
La (0.0000, 0.0000, 0.5000)  2 Zr 2.84
La (0.5000, 0.0000, 0.0000)  2 Zr 2.84
Y (0.5000, 0.5000, 0.5000)  8 La 3.92, 4 Sc 4.02
Sc (0.0000, 0.5000, 0.0000)  2 Zr 2.70


Number 1 is which compound?
ZrNiTe2


The lowest mass density belongs to which entry?
Tb2Sc7